The following is a PBE calculation of Mg5HIr3 after structural relaxation, from Alexandria.

Cell lengths 5.2109, 5.1671, 5.2110 Å; angles 87.95, 86.11, 91.98 degrees
Last column: nearest neighbours and their distance in Å.
Sites, in units of the cell vectors:
Mg1 0.8040 0.4063 0.3976  1 H 2.16
Mg2 0.8957 0.7160 0.8556  1 H 2.53, 4 Ir 2.60-2.66
Mg3 0.4366 0.0244 0.7634  1 H 2.16
Mg4 0.1174 0.9690 0.3421  4 Ir 2.67-2.85, 2 Mg 2.85-2.86, 1 H 2.91
Mg5 0.3835 0.4610 0.0772  4 Ir 2.67-2.85, 2 Mg 2.84-2.86, 1 H 2.91
H1 0.5641 0.7153 0.5240  2 Ir 1.77
Ir1 0.6224 0.9187 0.2432  1 H 1.77
Ir2 0.2832 0.5123 0.5824  1 H 1.77
Ir3 0.9356 0.2158 0.8959  8 Mg 2.60-2.89, 2 Ir 2.74

Properties
- E above lowest polymorph (meV/atom) = 0.0
- DFT total energy (hartree per atom) = -0.1679
- DOS(E_F) (states/eV/f.u.) = 3.047